! KMgRe, relaxed, DFT GGA-PBE; values from VASP
! SG: F-43m (216)
! ΔE to the lowest computed polymorph, eV per atom: 1.040
! V, Å³/cell: 90.25
! Uncorrected energy, eV/atom: -3.13
! Formation energy, meV/atom: 1919
&SYSTEM
  ibrav = 0, nat = 3, ntyp = 3
/
ATOMIC_SPECIES
Re 186.21 Re.upf
Mg 24.30 Mg.upf
K 39.10 K.upf
CELL_PARAMETERS angstrom
5.0349 0.0000 0.0000
2.5175 4.3604 0.0000
2.5175 1.4535 4.1110
ATOMIC_POSITIONS crystal
Re 0.0000 0.0000 0.0000
Mg 0.7500 0.7500 0.7500
K 0.5000 0.5000 0.5000